Compound: SrPdS
Source: Alexandria via LeMat-Bulk
Functional: PBE
Structure: relaxed

abc: 4.0509 4.3100 4.3100
angles: 120.00 90.00 90.00
Sites, in units of the cell vectors:
Pd 0.1668 0.6667 0.3333
Sr 0.6667 0.3333 0.6667
S 0.1665 0.0000 0.0000

Summary:
Total moment (μB/atom): 0.000
Final energy (eV per cell): -14.7
Space-group type: P-6m2 (187)
Density (g/cm³): 5.761